The following is a PBE calculation of crystalline Tm3AgC4O12 at its relaxed geometry, from Alexandria.

```
20
Lattice="4.911 2.836 3.213 -4.911 2.836 3.213 0.000 -5.671 3.213" Properties=species:S:1:pos:R:3 pbc="T T T"
Tm -2.636 -1.105 3.213
Tm -2.636 1.105 6.425
Tm 0.361 2.836 3.213
Ag 0.000 0.000 0.000
C -2.331 -4.038 4.819
C 0.000 0.000 4.819
C -2.331 4.038 4.819
C 4.663 0.000 4.819
O -0.845 -2.004 2.373
O -3.837 0.000 4.819
O -1.313 1.734 2.373
O -1.304 0.000 4.819
O 2.158 0.270 2.373
O 1.919 -3.323 4.819
O 0.652 -1.129 4.819
O -1.313 -1.734 7.265
O 0.652 1.129 4.819
O -0.845 2.004 7.265
O 1.919 3.323 4.819
O 2.158 -0.270 7.265
```

Computed properties:
**V**: 13.4 Å³/atom
**Raw total energy**: -7.6041 eV/atom
**Raw formation energy**: -1.971 eV per atom
**ρ**: 5.287 g cm⁻³